i.
## Li2Ag3 (PBE)

Data for Li2Ag3 after structural relaxation.

Space-group type = Fmmm, No. 69
Total magnetization = 0.0000 μB per atom

abc: 3.228 3.228 8.145
angles: 101.37 101.37 90.31
Sites, in units of the cell vectors:
Li: 0.901 0.401 0.802
Li: 0.099 0.599 0.198
Ag: 0.693 0.193 0.387
Ag: 0.307 0.807 0.613
Ag: 0.500 0.000 0.000

ii.
## Li2Ag3 (PBE)

Data for Li2Ag3 after structural relaxation.

Space-group type = P-3m1, No. 164
Total magnetization = 0.0000 μB per atom

abc: 4.334 4.334 5.410
angles: 90.00 90.00 120.00
Sites, in units of the cell vectors:
Li: 0.667 0.333 0.167
Li: 0.333 0.667 0.833
Ag: 0.000 0.000 0.000
Ag: 0.667 0.333 0.658
Ag: 0.333 0.667 0.342

iii.
## Li2Ag3 (PBE)

Data for Li2Ag3 after structural relaxation.

Space-group type = R-3c, No. 167
Total magnetization = 0.0000 μB per atom

abc: 7.658 7.658 5.428
angles: 45.13 45.13 60.00
Sites, in units of the cell vectors:
Ag: 0.076 0.750 0.750
Ag: 0.750 0.424 0.750
Ag: 0.424 0.076 0.750
Ag: 0.250 0.576 0.250
Ag: 0.576 0.924 0.250
Ag: 0.924 0.250 0.250
Li: 0.876 0.876 0.372
Li: 0.376 0.376 0.872
Li: 0.124 0.124 0.628
Li: 0.624 0.624 0.128

iv.
## Li2Ag3 (PBE)

Data for Li2Ag3 after structural relaxation.

Space-group type = Fdd2, No. 43
Total magnetization = 0.0000 μB per atom

abc: 8.386 7.305 5.457
angles: 80.75 59.29 39.96
Sites, in units of the cell vectors:
Li: 0.195 0.906 0.354
Li: 0.544 0.354 0.906
Li: 0.344 0.055 0.706
Li: 0.896 0.706 0.055
Ag: 0.730 0.473 0.345
Ag: 0.451 0.345 0.473
Ag: 0.777 0.520 0.799
Ag: 0.905 0.799 0.520
Ag: 0.079 0.921 0.921
Ag: 0.329 0.171 0.171

Verdict on stability: i comes out on top.

i.
## Li7Ag (PBE)

Data for Li7Ag after structural relaxation.

Space-group type = R-3m, No. 166
Total magnetization = 0.0000 μB per atom

abc: 4.691 4.691 8.113
angles: 73.20 73.20 60.00
Sites, in units of the cell vectors:
Li: 0.879 0.879 0.362
Li: 0.747 0.747 0.760
Li: 0.629 0.629 0.114
Li: 0.500 0.500 0.500
Li: 0.371 0.371 0.886
Li: 0.253 0.253 0.240
Li: 0.121 0.121 0.638
Ag: 0.000 0.000 0.000

ii.
## Li7Ag (PBE)

Data for Li7Ag after structural relaxation.

Space-group type = Fm-3m, No. 225
Total magnetization = 0.0004 μB per atom

abc: 5.890 5.890 5.890
angles: 60.00 60.00 60.00
Sites, in units of the cell vectors:
Ag: 0.000 0.000 0.000
Li: 0.500 0.000 0.500
Li: 0.000 0.500 0.500
Li: 0.000 0.000 0.500
Li: 0.000 0.500 0.000
Li: 0.500 0.000 0.000
Li: 0.500 0.500 0.000
Li: 0.500 0.500 0.500

Verdict on stability: i comes out on top.

i.
## LiLuAg2 (PBE)

Data for LiLuAg2 after structural relaxation.

Space-group type = P4/mmm, No. 123
Total magnetization = 0.0000 μB per atom

abc: 3.457 3.457 6.585
angles: 90.00 90.00 90.00
Sites, in units of the cell vectors:
Lu: 0.500 0.500 0.500
Ag: 0.000 0.000 0.777
Ag: 0.000 0.000 0.223
Li: 0.500 0.500 0.000

ii.
## LiLuAg2 (PBE)

Data for LiLuAg2 after structural relaxation.

Space-group type = Fm-3m, No. 225
Total magnetization = 0.0000 μB per atom

abc: 4.835 4.835 4.835
angles: 60.00 60.00 60.00
Sites, in units of the cell vectors:
Lu: 0.000 0.000 0.000
Ag: 0.250 0.250 0.250
Ag: 0.750 0.750 0.750
Li: 0.500 0.500 0.500

Verdict on stability: i comes out on top.

i.
## Li12MgAg6 (PBE)

Data for Li12MgAg6 after structural relaxation.

Space-group type = R-3, No. 148
Total magnetization = 0.0000 μB per atom

abc: 7.008 7.008 7.008
angles: 89.52 89.52 89.52
Sites, in units of the cell vectors:
Li: 0.807 0.523 0.423
Li: 0.423 0.807 0.523
Li: 0.523 0.423 0.807
Li: 0.193 0.477 0.577
Li: 0.577 0.193 0.477
Li: 0.477 0.577 0.193
Li: 0.032 0.156 0.387
Li: 0.844 0.613 0.968
Li: 0.613 0.968 0.844
Li: 0.968 0.844 0.613
Li: 0.156 0.387 0.032
Li: 0.387 0.032 0.156
Mg: 0.000 0.000 0.000
Ag: 0.732 0.880 0.276
Ag: 0.724 0.268 0.120
Ag: 0.120 0.724 0.268
Ag: 0.268 0.120 0.724
Ag: 0.276 0.732 0.880
Ag: 0.880 0.276 0.732

ii.
## Li12MgAg6 (PBE)

Data for Li12MgAg6 after structural relaxation.

Space-group type = R-3, No. 148
Total magnetization = 0.0000 μB per atom

abc: 7.084 7.639 7.639
angles: 69.10 72.00 108.00
Sites, in units of the cell vectors:
Li: 0.510 0.841 0.281
Li: 0.669 0.878 0.841
Li: 0.791 0.281 0.878
Li: 0.490 0.159 0.719
Li: 0.331 0.122 0.159
Li: 0.209 0.719 0.122
Li: 0.260 0.443 0.621
Li: 0.119 0.379 0.064
Li: 0.183 0.064 0.557
Li: 0.740 0.557 0.379
Li: 0.881 0.621 0.936
Li: 0.817 0.936 0.443
Mg: 0.000 0.000 0.000
Ag: 0.445 0.486 0.212
Ag: 0.041 0.697 0.514
Ag: 0.343 0.788 0.697
Ag: 0.555 0.514 0.788
Ag: 0.959 0.303 0.486
Ag: 0.657 0.212 0.303

Verdict on stability: ii comes out on top.

i.
## Li3Mg4Ag (PBE)

Data for Li3Mg4Ag after structural relaxation.

Space-group type = C2/m, No. 12
Total magnetization = 0.0000 μB per atom

abc: 4.055 3.256 12.987
angles: 97.47 98.98 90.00
Sites, in units of the cell vectors:
Li: 0.000 0.500 0.000
Li: 0.155 0.156 0.309
Li: 0.845 0.844 0.691
Mg: 0.408 0.408 0.816
Mg: 0.592 0.592 0.184
Mg: 0.715 0.716 0.431
Mg: 0.285 0.284 0.569
Ag: 0.500 0.000 0.000

ii.
## Li3Mg4Ag (PBE)

Data for Li3Mg4Ag after structural relaxation.

Space-group type = P4/mmm, No. 123
Total magnetization = 0.0000 μB per atom

abc: 3.400 3.400 13.551
angles: 90.00 90.00 90.00
Sites, in units of the cell vectors:
Mg: 0.000 0.000 0.882
Mg: 0.000 0.000 0.118
Mg: 0.000 0.000 0.372
Mg: 0.000 0.000 0.628
Ag: 0.500 0.500 0.000
Li: 0.500 0.500 0.245
Li: 0.500 0.500 0.500
Li: 0.500 0.500 0.755

Verdict on stability: ii comes out on top.

i.
## Li2Mg3Ag8 (PBE)

Data for Li2Mg3Ag8 after structural relaxation.

Space-group type = R-3m, No. 166
Total magnetization = 0.0000 μB per atom

abc: 5.503 5.503 10.212
angles: 74.37 74.37 60.00
Sites, in units of the cell vectors:
Li: 0.636 0.636 0.091
Li: 0.364 0.364 0.909
Mg: 0.000 0.000 0.000
Mg: 0.814 0.814 0.557
Mg: 0.186 0.186 0.443
Ag: 0.722 0.722 0.834
Ag: 0.278 0.278 0.166
Ag: 0.229 0.730 0.311
Ag: 0.730 0.229 0.311
Ag: 0.730 0.730 0.311
Ag: 0.270 0.771 0.689
Ag: 0.771 0.270 0.689
Ag: 0.270 0.270 0.689

ii.
## Li2Mg3Ag8 (PBE)

Data for Li2Mg3Ag8 after structural relaxation.

Space-group type = P2/m, No. 10
Total magnetization = 0.0000 μB per atom

abc: 4.256 8.477 9.262
angles: 44.34 90.00 90.00
Sites, in units of the cell vectors:
Li: 0.500 0.886 0.694
Li: 0.500 0.114 0.306
Mg: 0.500 0.000 0.000
Mg: 0.000 0.636 0.275
Mg: 0.000 0.364 0.725
Ag: 0.000 0.235 0.377
Ag: 0.000 0.765 0.623
Ag: 0.000 0.937 0.834
Ag: 0.000 0.063 0.166
Ag: 0.500 0.426 0.895
Ag: 0.500 0.706 0.447
Ag: 0.500 0.294 0.553
Ag: 0.500 0.574 0.105

Verdict on stability: ii comes out on top.

i.
## Li6MgAg2 (PBE)

Data for Li6MgAg2 after structural relaxation.

Space-group type = C2/m, No. 12
Total magnetization = 0.0000 μB per atom

abc: 2.857 8.028 8.028
angles: 59.54 87.48 87.48
Sites, in units of the cell vectors:
Li: 0.477 0.999 0.342
Li: 0.522 0.001 0.658
Li: 0.522 0.658 0.001
Li: 0.501 0.341 0.659
Li: 0.501 0.659 0.341
Li: 0.477 0.342 0.999
Mg: 0.000 0.000 0.000
Ag: 0.002 0.334 0.334
Ag: 0.998 0.666 0.666

ii.
## Li6MgAg2 (PBE)

Data for Li6MgAg2 after structural relaxation.

Space-group type = P2_1/c, No. 14
Total magnetization = 0.0000 μB per atom

abc: 5.640 8.022 8.487
angles: 90.00 122.66 90.00
Sites, in units of the cell vectors:
Li: 0.988 0.997 0.158
Li: 0.014 0.664 0.653
Li: 0.988 0.670 0.992
Li: 0.512 0.170 0.508
Li: 0.486 0.164 0.847
Li: 0.512 0.497 0.342
Li: 0.012 0.003 0.842
Li: 0.986 0.336 0.347
Li: 0.012 0.330 0.008
Li: 0.488 0.830 0.492
Li: 0.514 0.836 0.153
Li: 0.488 0.503 0.658
Mg: 0.500 0.500 0.000
Mg: 0.000 0.000 0.500
Ag: 0.001 0.335 0.679
Ag: 0.499 0.835 0.821
Ag: 0.501 0.165 0.179
Ag: 0.999 0.665 0.321

Verdict on stability: ii comes out on top.

i.
## LiMgAg (PBE)

Data for LiMgAg after structural relaxation.

Space-group type = P3m1, No. 156
Total magnetization = 0.0000 μB per atom

abc: 4.581 4.581 2.963
angles: 90.00 90.00 120.00
Sites, in units of the cell vectors:
Mg: 0.667 0.333 0.655
Ag: 0.000 0.000 0.060
Li: 0.333 0.667 0.285

ii.
## LiMgAg (PBE)

Data for LiMgAg after structural relaxation.

Space-group type = P3m1, No. 156
Total magnetization = 0.0000 μB per atom

abc: 3.056 3.056 6.980
angles: 90.00 90.00 120.00
Sites, in units of the cell vectors:
Ag: 0.000 0.000 0.008
Li: 0.667 0.333 0.318
Mg: 0.333 0.667 0.674

Verdict on stability: i comes out on top.

i.
## LiMgAg (PBE)

Data for LiMgAg after structural relaxation.

Space-group type = C2/m, No. 12
Total magnetization = 0.0000 μB per atom

abc: 3.044 5.273 7.815
angles: 99.65 90.00 106.77
Sites, in units of the cell vectors:
Li: 0.356 0.713 0.402
Li: 0.644 0.287 0.598
Mg: 0.600 0.200 0.203
Mg: 0.400 0.800 0.797
Ag: 0.862 0.723 0.103
Ag: 0.138 0.277 0.897

ii.
## LiMgAg (PBE)

Data for LiMgAg after structural relaxation.

Space-group type = P2_1/m, No. 11
Total magnetization = 0.0000 μB per atom

abc: 4.689 7.197 7.202
angles: 83.32 70.49 70.55
Sites, in units of the cell vectors:
Ag: 0.908 0.710 0.959
Ag: 0.092 0.790 0.540
Ag: 0.092 0.290 0.041
Ag: 0.908 0.210 0.460
Mg: 0.236 0.383 0.633
Mg: 0.236 0.883 0.133
Mg: 0.764 0.617 0.367
Mg: 0.764 0.117 0.867
Li: 0.560 0.556 0.806
Li: 0.560 0.056 0.306
Li: 0.440 0.444 0.194
Li: 0.440 0.944 0.694

Verdict on stability: ii comes out on top.

i.
## Li6Mg2Ag (PBE)

Data for Li6Mg2Ag after structural relaxation.

Space-group type = Cmmm, No. 65
Total magnetization = 0.0000 μB per atom

abc: 3.939 7.047 7.047
angles: 59.80 90.00 90.00
Sites, in units of the cell vectors:
Li: 0.000 0.543 0.165
Li: 0.000 0.835 0.457
Li: 0.000 0.457 0.835
Li: 0.500 0.702 0.298
Li: 0.000 0.165 0.543
Li: 0.500 0.298 0.702
Mg: 0.500 0.190 0.190
Mg: 0.500 0.810 0.810
Ag: 0.000 0.000 0.000

ii.
## Li6Mg2Ag (PBE)

Data for Li6Mg2Ag after structural relaxation.

Space-group type = C2/m, No. 12
Total magnetization = 0.0000 μB per atom

abc: 6.017 5.729 5.729
angles: 59.88 89.88 89.88
Sites, in units of the cell vectors:
Li: 0.328 0.349 0.826
Li: 0.327 0.825 0.825
Li: 0.328 0.826 0.349
Li: 0.672 0.651 0.174
Li: 0.673 0.175 0.175
Li: 0.672 0.174 0.651
Mg: 0.880 0.666 0.666
Mg: 0.120 0.334 0.334
Ag: 0.000 0.000 0.000

Verdict on stability: i comes out on top.